1.
! Ti8Bi9 (meta-GGA SCAN, single point on PBEsol structure); values from VASP
! * DFT total energy: -49.395 eV/atom
! * total magnetic moment: 0.01 μB per cell
! * formation enthalpy at 0 K: -0.250 eV/atom
! * crystal system: tetragonal
! * space group: No. 129
&SYSTEM
  ibrav = 0, nat = 34, ntyp = 2
/
ATOMIC_SPECIES
Ti 47.87 Ti.upf
Bi 208.98 Bi.upf
ATOMIC_POSITIONS angstrom
Ti 0.000 0.000 0.000
Ti 0.000 5.077 0.000
Ti 1.097 7.615 1.089
Ti 2.538 2.538 3.103
Ti 2.538 2.538 6.758
Ti 2.538 6.174 6.253
Ti 2.538 9.056 6.253
Ti 3.980 7.615 1.089
Ti 5.077 0.000 0.000
Ti 5.077 5.077 0.000
Ti 6.174 2.538 6.253
Ti 7.615 1.097 1.089
Ti 7.615 3.980 1.089
Ti 7.615 7.615 0.584
Ti 7.615 7.615 4.239
Ti 9.056 2.538 6.253
Bi 0.133 2.538 1.425
Bi 0.859 0.859 4.786
Bi 0.859 4.218 4.786
Bi 2.538 0.133 1.425
Bi 2.538 4.944 1.425
Bi 2.538 7.615 3.671
Bi 4.218 0.859 4.786
Bi 4.218 4.218 4.786
Bi 4.944 2.538 1.425
Bi 5.209 7.615 5.917
Bi 5.935 5.935 2.557
Bi 5.935 9.295 2.557
Bi 7.615 2.538 3.671
Bi 7.615 5.209 5.917
Bi 7.615 10.020 5.917
Bi 9.295 5.935 2.557
Bi 9.295 9.295 2.557
Bi 10.020 7.615 5.917
CELL_PARAMETERS angstrom
10.153 0.000 0.000
0.000 10.153 0.000
0.000 0.000 7.342

2.
! BaTl2Ir2 (meta-GGA SCAN, single point on PBEsol structure); values from VASP
! * DFT total energy: -65.367 eV/atom
! * total magnetic moment: 0.00 μB per cell
! * formation enthalpy at 0 K: -0.074 eV/atom
! * crystal system: tetragonal
! * space group: No. 139
&SYSTEM
  ibrav = 0, nat = 5, ntyp = 3
/
ATOMIC_SPECIES
Ba 137.33 Ba.upf
Tl 204.38 Tl.upf
Ir 192.22 Ir.upf
ATOMIC_POSITIONS angstrom
Ba 0.000 0.000 0.000
Tl 2.331 0.000 2.755
Tl 0.000 2.331 2.755
Ir 0.000 0.000 4.310
Ir 0.000 0.000 6.710
CELL_PARAMETERS angstrom
-2.331 2.331 5.510
2.331 -2.331 5.510
2.331 2.331 -5.510

3.
! In2TeIr (meta-GGA SCAN, single point on PBEsol structure); values from VASP
! * DFT total energy: -43.326 eV/atom
! * total magnetic moment: 0.00 μB per cell
! * ΔE_f (raw): 454 meV per atom
! * crystal system: tetragonal
! * space group: No. 123
&SYSTEM
  ibrav = 0, nat = 4, ntyp = 3
/
ATOMIC_SPECIES
In 114.82 In.upf
Te 127.60 Te.upf
Ir 192.22 Ir.upf
ATOMIC_POSITIONS angstrom
In 0.000 2.274 0.000
In 2.274 0.000 0.000
Te 0.000 0.000 2.016
Ir 2.274 2.274 2.016
CELL_PARAMETERS angstrom
4.549 0.000 0.000
0.000 4.549 0.000
0.000 0.000 4.032